# 1
A geometry-optimized Y2CdBOs structure. Source: Alexandria via LeMat-Bulk, functional PBE-GGA.

**Total energy**: -4.520 eV/atom
**Excess energy over the best structure of this formula in the dataset**: 2125 meV per atom
**Formation enthalpy at 0 K**: 1.8296 eV/atom
**Total moment**: 0.00 μB/cell

```
Y2CdBOs
1.0
-4.2294 1.3411 -3.2028
-2.9246 -0.0999 3.8202
0.9981 5.3040 0.9029
Y B Os Cd
2 1 1 1
direct
0.0000 0.0000 0.5000
0.5000 0.0000 0.0000
0.5000 0.5000 0.5000
0.0000 0.5000 0.0000
0.0000 0.0000 0.0000
```

# 2
A geometry-optimized YCdB2Os structure. Source: Alexandria via LeMat-Bulk, functional PBE-GGA.

**Total energy**: -4.379 eV/atom
**Formation enthalpy at 0 K**: 2.0141 eV/atom
**Total moment**: 1.00 μB/cell

```
YCdB2Os
1.0
-1.4447 3.8987 0.2624
-5.3631 -2.0066 0.2859
0.2863 -0.1734 4.1525
Cd B Os Y
1 2 1 1
direct
0.0000 0.0000 0.0000
0.5000 0.0000 0.0000
0.0000 0.0000 0.5000
0.5000 0.5000 0.5000
0.0000 0.5000 0.0000
```

# 3
A geometry-optimized Cd2BP structure. Source: Alexandria via LeMat-Bulk, functional PBE-GGA.

**Total energy**: -2.460 eV/atom
**Excess energy over the best structure of this formula in the dataset**: 75 meV per atom
**Formation enthalpy at 0 K**: 1.0198 eV/atom
**Total moment**: 0.00 μB/cell

```
Cd2BP
1.0
2.1857 -3.8698 1.3580
0.3077 -1.0300 4.5212
-2.4346 -3.5533 1.7446
P Cd B
1 2 1
direct
0.5000 0.5000 0.5000
0.2500 0.2500 0.2500
0.7500 0.7500 0.7500
0.0000 0.0000 0.0000
```

# 4
A geometry-optimized Cd2BP structure. Source: Alexandria via LeMat-Bulk, functional PBE-GGA.

**Total energy**: -2.534 eV/atom
**Excess energy over the best structure of this formula in the dataset**: 0 meV per atom
**Formation enthalpy at 0 K**: 0.9452 eV/atom
**Total moment**: 0.00 μB/cell

```
Cd2BP
1.0
-5.1741 1.5973 -3.2127
-2.4724 -5.6730 1.1613
-5.5571 -0.5601 2.5015
Cd B P
4 2 2
direct
0.3750 0.4069 0.7500
0.5931 0.1250 0.2500
0.8750 0.8431 0.7500
0.1569 0.6250 0.2500
0.2500 0.7500 0.5000
0.5000 0.5000 0.0000
0.7500 0.2500 0.5000
0.0000 0.0000 0.0000
```

# 5
A geometry-optimized CdBPS2 structure. Source: Alexandria via LeMat-Bulk, functional PBE-GGA.

**Total energy**: -3.645 eV/atom
**Excess energy over the best structure of this formula in the dataset**: 0 meV per atom
**Uncorrected formation energy**: 0.61 eV per atom
**Total moment**: 0.00 μB/cell

```
CdBPS2
1.0
4.6802 0.0000 0.0000
0.0000 4.6802 0.0000
0.0000 0.0000 3.7330
Cd S P B
1 2 1 1
direct
0.5000 0.5000 0.5000
0.0000 0.5000 0.0000
0.5000 0.0000 0.0000
0.0000 0.0000 0.5000
0.0000 0.0000 0.0000
```

# 6
A geometry-optimized CdBPS2 structure. Source: Alexandria via LeMat-Bulk, functional PBE-GGA.

**Total energy**: -2.461 eV/atom
**Excess energy over the best structure of this formula in the dataset**: 1184 meV per atom
**Uncorrected formation energy**: 1.79 eV per atom
**Total moment**: 1.32 μB/cell

```
CdBPS2
1.0
5.0293 0.0000 0.0000
0.0000 5.0293 0.0000
0.0000 0.0000 4.9687
B P S Cd
1 1 2 1
direct
0.5000 0.5000 0.5000
0.0000 0.0000 0.5000
0.5000 0.0000 0.0000
0.0000 0.5000 0.0000
0.0000 0.0000 0.0000
```

| no. | volume (Å³/cell) |
| --- | --- |
| 1 | 144 |
| 2 | 100 |
| 3 | 71 |
| 4 | 166 |
| 5 | 82 |
| 6 | 126 |